No. 1
! Pm2DyY3Te6, relaxed, DFT PBE; values from VASP
! - Symmetry: C2/m (12)
! - Total energy: -68.4 eV per cell
! - D(E_F): 6.7 states/eV per cell
&SYSTEM
  ibrav = 0, nat = 12, ntyp = 4
/
ATOMIC_SPECIES
Pm 145.00 Pm.upf
Dy 162.50 Dy.upf
Y 88.91 Y.upf
Te 127.60 Te.upf
CELL_PARAMETERS angstrom
-1.580 2.117 3.484
-7.516 1.597 -4.380
-0.920 -9.445 2.578
ATOMIC_POSITIONS crystal
Pm 0.831 0.664 0.662
Pm 0.169 0.336 0.338
Dy 0.500 0.000 0.000
Y 0.500 0.500 0.000
Y 0.829 0.167 0.658
Y 0.171 0.833 0.342
Te 0.336 0.924 0.671
Te 0.663 0.588 0.327
Te 0.664 0.076 0.329
Te 0.997 0.248 0.995
Te 0.003 0.752 0.005
Te 0.337 0.412 0.673



No. 2
! Pm3Dy2Th, relaxed, DFT PBE; values from VASP
! - ΔE_f: 0.04 eV per atom
! - Symmetry: Cmcm (63)
! - Distance to the lowest polymorph of the same formula: 0.000 eV/atom
! - Total energy: -61.3 eV per cell
! - D(E_F): 16.1 states/eV per cell
&SYSTEM
  ibrav = 0, nat = 12, ntyp = 3
/
ATOMIC_SPECIES
Pm 145.00 Pm.upf
Dy 162.50 Dy.upf
Th 232.04 Th.upf
CELL_PARAMETERS angstrom
-11.121 3.170 -1.454
-0.941 -0.462 6.190
1.878 5.450 -2.487
ATOMIC_POSITIONS crystal
Pm 0.470 0.163 0.837
Pm 0.970 0.163 0.837
Pm 0.470 0.500 0.500
Pm 0.970 0.500 0.500
Pm 0.970 0.837 0.163
Pm 0.470 0.837 0.163
Dy 0.720 0.166 0.498
Dy 0.220 0.502 0.834
Dy 0.220 0.834 0.502
Dy 0.720 0.498 0.166
Th 0.720 0.833 0.833
Th 0.220 0.167 0.167



No. 3
! Pm12Dy2Th, relaxed, DFT PBE; values from VASP
! - ΔE_f: 0.17 eV per atom
! - Symmetry: Cmme (67)
! - Total energy: -142.1 eV per cell
! - D(E_F): 43.5 states/eV per cell
&SYSTEM
  ibrav = 0, nat = 30, ntyp = 3
/
ATOMIC_SPECIES
Pm 145.00 Pm.upf
Dy 162.50 Dy.upf
Th 232.04 Th.upf
CELL_PARAMETERS angstrom
6.626 -1.581 0.000
-1.581 6.626 0.000
0.000 0.000 24.996
ATOMIC_POSITIONS crystal
Pm 0.500 0.500 0.800
Pm 0.000 0.000 0.800
Pm 0.752 0.748 0.925
Pm 0.251 0.751 0.873
Pm 0.000 0.000 0.325
Pm 0.249 0.749 0.127
Pm 0.768 0.268 0.586
Pm 0.500 0.500 0.325
Pm 0.248 0.252 0.925
Pm 0.748 0.752 0.075
Pm 0.274 0.226 0.560
Pm 0.732 0.232 0.414
Pm 0.000 0.000 0.675
Pm 0.226 0.274 0.440
Pm 0.252 0.248 0.075
Pm 0.774 0.726 0.440
Pm 0.726 0.774 0.560
Pm 0.000 0.000 0.200
Pm 0.232 0.732 0.586
Pm 0.500 0.500 0.675
Pm 0.749 0.249 0.873
Pm 0.500 0.500 0.200
Pm 0.268 0.768 0.414
Pm 0.751 0.251 0.127
Dy 0.500 0.000 0.266
Dy 0.000 0.500 0.271
Dy 0.000 0.500 0.734
Dy 0.500 0.000 0.729
Th 0.500 0.000 0.999
Th 0.000 0.500 0.001



No. 4
! Pm6Dy8Th, relaxed, DFT PBE; values from VASP
! - ΔE_f: 0.12 eV per atom
! - Symmetry: R-3 (148)
! - Total energy: -70.9 eV per cell
! - D(E_F): 23.3 states/eV per cell
&SYSTEM
  ibrav = 0, nat = 15, ntyp = 3
/
ATOMIC_SPECIES
Pm 145.00 Pm.upf
Dy 162.50 Dy.upf
Th 232.04 Th.upf
CELL_PARAMETERS angstrom
-7.641 -4.167 -0.394
-1.617 -5.881 6.220
-5.967 2.118 5.983
ATOMIC_POSITIONS crystal
Pm 0.898 0.463 0.770
Pm 0.230 0.102 0.537
Pm 0.537 0.230 0.102
Pm 0.463 0.770 0.898
Pm 0.770 0.898 0.463
Pm 0.102 0.537 0.230
Dy 0.113 0.717 0.754
Dy 0.246 0.887 0.283
Dy 0.283 0.246 0.887
Dy 0.577 0.577 0.577
Dy 0.423 0.423 0.423
Dy 0.717 0.754 0.113
Dy 0.754 0.113 0.717
Dy 0.887 0.283 0.246
Th 0.000 0.000 0.000



No. 5
! Pm4Dy5Th4, relaxed, DFT PBE; values from VASP
! - ΔE_f: 0.04 eV per atom
! - Symmetry: I4/m (87)
! - Total energy: -71.2 eV per cell
! - D(E_F): 17.2 states/eV per cell
&SYSTEM
  ibrav = 0, nat = 13, ntyp = 3
/
ATOMIC_SPECIES
Pm 145.00 Pm.upf
Dy 162.50 Dy.upf
Th 232.04 Th.upf
CELL_PARAMETERS angstrom
-3.592 -3.328 1.309
4.664 -7.805 2.765
-1.595 1.500 9.248
ATOMIC_POSITIONS crystal
Pm 0.767 0.385 0.081
Pm 0.233 0.615 0.919
Pm 0.848 0.919 0.385
Pm 0.152 0.081 0.615
Dy 0.695 0.843 0.767
Dy 0.305 0.157 0.233
Dy 0.000 0.000 0.000
Dy 0.538 0.767 0.157
Dy 0.462 0.233 0.843
Th 0.925 0.464 0.687
Th 0.612 0.313 0.464
Th 0.075 0.536 0.313
Th 0.388 0.687 0.536



No. 6
! PmDy4Th3, relaxed, DFT PBE; values from VASP
! - ΔE_f: 0.05 eV per atom
! - Symmetry: C2/m (12)
! - Total energy: -45.0 eV per cell
! - D(E_F): 11.8 states/eV per cell
&SYSTEM
  ibrav = 0, nat = 8, ntyp = 3
/
ATOMIC_SPECIES
Dy 162.50 Dy.upf
Th 232.04 Th.upf
Pm 145.00 Pm.upf
CELL_PARAMETERS angstrom
5.978 -1.004 -1.167
-1.387 5.927 -1.203
-0.690 -0.718 7.893
ATOMIC_POSITIONS crystal
Dy 0.753 0.253 0.506
Dy 0.247 0.747 0.494
Dy 0.376 0.376 0.751
Dy 0.624 0.624 0.249
Th 0.000 0.500 0.000
Th 0.877 0.877 0.754
Th 0.123 0.123 0.246
Pm 0.500 0.000 0.000



No. 7
! PmDyTh14, relaxed, DFT PBE; values from VASP
! - ΔE_f: 0.04 eV per atom
! - Symmetry: Amm2 (38)
! - Total energy: -112.7 eV per cell
! - D(E_F): 19.7 states/eV per cell
&SYSTEM
  ibrav = 0, nat = 16, ntyp = 3
/
ATOMIC_SPECIES
Pm 145.00 Pm.upf
Dy 162.50 Dy.upf
Th 232.04 Th.upf
CELL_PARAMETERS angstrom
0.339 3.502 -6.263
-6.264 -2.658 2.301
-2.232 9.989 5.465
ATOMIC_POSITIONS crystal
Pm 0.540 0.460 0.500
Dy 0.041 0.959 0.500
Th 0.208 0.792 0.000
Th 0.708 0.292 0.000
Th 0.044 0.457 0.500
Th 0.208 0.291 0.000
Th 0.543 0.956 0.500
Th 0.709 0.792 0.000
Th 0.375 0.124 0.751
Th 0.375 0.124 0.249
Th 0.876 0.625 0.751
Th 0.876 0.625 0.249
Th 0.374 0.626 0.752
Th 0.374 0.626 0.248
Th 0.875 0.125 0.751
Th 0.875 0.125 0.249



No. 8
! Pm8DyTh4, relaxed, DFT PBE; values from VASP
! - ΔE_f: 0.56 eV per atom
! - Symmetry: R-3m (166)
! - Total energy: -65.0 eV per cell
! - D(E_F): 21.5 states/eV per cell
&SYSTEM
  ibrav = 0, nat = 13, ntyp = 3
/
ATOMIC_SPECIES
Pm 145.00 Pm.upf
Dy 162.50 Dy.upf
Th 232.04 Th.upf
CELL_PARAMETERS angstrom
9.994 -0.001 -5.392
-6.451 9.345 -0.001
-2.535 -1.750 7.259
ATOMIC_POSITIONS crystal
Pm 0.525 0.763 0.288
Pm 0.475 0.237 0.712
Pm 0.462 0.231 0.204
Pm 0.027 0.258 0.796
Pm 0.538 0.769 0.796
Pm 0.027 0.769 0.796
Pm 0.973 0.231 0.204
Pm 0.973 0.742 0.204
Dy 0.000 0.500 0.500
Th 0.000 0.000 0.000
Th 0.000 0.500 0.000
Th 0.500 0.500 0.000
Th 0.500 0.000 0.000



No. 9
! Pm7Dy2Th2, relaxed, DFT PBE; values from VASP
! - ΔE_f: 0.17 eV per atom
! - Symmetry: C2/m (12)
! - Distance to the lowest polymorph of the same formula: 0.000 eV/atom
! - Total energy: -55.4 eV per cell
! - D(E_F): 16.5 states/eV per cell
&SYSTEM
  ibrav = 0, nat = 11, ntyp = 3
/
ATOMIC_SPECIES
Pm 145.00 Pm.upf
Dy 162.50 Dy.upf
Th 232.04 Th.upf
CELL_PARAMETERS angstrom
-5.054 3.109 1.646
-5.973 -5.456 0.032
0.104 0.157 8.088
ATOMIC_POSITIONS crystal
Pm 0.170 0.060 0.587
Pm 0.830 0.413 0.940
Pm 0.830 0.940 0.413
Pm 0.170 0.587 0.060
Pm 0.000 0.000 0.000
Pm 0.588 0.766 0.766
Pm 0.412 0.234 0.234
Dy 0.500 0.222 0.778
Dy 0.500 0.778 0.222
Th 0.804 0.424 0.424
Th 0.196 0.576 0.576



No. 10
! Pm3Dy7Th2, relaxed, DFT PBE; values from VASP
! - ΔE_f: 0.02 eV per atom
! - Symmetry: P-1 (2)
! - Total energy: -61.0 eV per cell
! - D(E_F): 16.1 states/eV per cell
&SYSTEM
  ibrav = 0, nat = 12, ntyp = 3
/
ATOMIC_SPECIES
Pm 145.00 Pm.upf
Dy 162.50 Dy.upf
Th 232.04 Th.upf
CELL_PARAMETERS angstrom
3.554 0.011 -0.458
0.023 6.194 0.295
0.455 2.217 17.612
ATOMIC_POSITIONS crystal
Pm 0.500 0.500 0.000
Pm 0.835 0.835 0.666
Pm 0.165 0.165 0.334
Dy 0.249 0.742 0.497
Dy 0.751 0.258 0.503
Dy 0.416 0.921 0.833
Dy 0.000 0.000 0.000
Dy 0.584 0.079 0.167
Dy 0.086 0.586 0.169
Dy 0.914 0.414 0.831
Th 0.334 0.332 0.668
Th 0.666 0.668 0.332



No. 11
! Pm2DyTh3, relaxed, DFT PBE; values from VASP
! - ΔE_f: 0.19 eV per atom
! - Symmetry: Cmcm (63)
! - Total energy: -70.4 eV per cell
! - D(E_F): 15.3 states/eV per cell
&SYSTEM
  ibrav = 0, nat = 12, ntyp = 3
/
ATOMIC_SPECIES
Pm 145.00 Pm.upf
Dy 162.50 Dy.upf
Th 232.04 Th.upf
CELL_PARAMETERS angstrom
6.775 0.000 0.000
0.000 9.896 -5.668
0.000 -2.391 7.299
ATOMIC_POSITIONS crystal
Pm 0.750 0.437 0.334
Pm 0.250 0.563 0.666
Pm 0.250 0.897 0.334
Pm 0.750 0.103 0.666
Dy 0.250 0.229 0.000
Dy 0.750 0.771 0.000
Th 0.000 0.166 0.332
Th 0.500 0.834 0.668
Th 0.000 0.500 0.000
Th 0.500 0.500 0.000
Th 0.000 0.834 0.668
Th 0.500 0.166 0.332



No. 12
! Pm2DyTh, relaxed, DFT PBE; values from VASP
! - ΔE_f: 0.05 eV per atom
! - Symmetry: P4/mmm (123)
! - Distance to the lowest polymorph of the same formula: 0.045 eV/atom
! - Total energy: -21.3 eV per cell
! - D(E_F): 4.8 states/eV per cell
&SYSTEM
  ibrav = 0, nat = 4, ntyp = 3
/
ATOMIC_SPECIES
Pm 145.00 Pm.upf
Th 232.04 Th.upf
Dy 162.50 Dy.upf
CELL_PARAMETERS angstrom
-4.764 1.137 -1.422
-1.776 -3.734 2.965
-0.380 3.265 3.884
ATOMIC_POSITIONS crystal
Pm 0.000 0.000 0.500
Pm 0.000 0.500 0.000
Th 0.500 0.000 0.000
Dy 0.500 0.500 0.500